No. 1
First-principles (PBE-GGA) data for crystalline ZrNi2N at its relaxed geometry, as listed in Alexandria.

Cell: 3.2504 10.8172 5.5371 Å, 90.00 90.00 90.00°
Atoms (fractional coordinates):
Zr 0.0000 0.8220 0.1634
Zr 0.0000 0.1780 0.6634
Zr 0.5000 0.3220 0.1634
Zr 0.5000 0.6780 0.6634
Ni 0.0000 0.1114 0.1965
Ni 0.0000 0.8886 0.6965
Ni 0.5000 0.6114 0.1965
Ni 0.5000 0.3886 0.6965
Ni 0.0000 0.4775 0.4306
Ni 0.0000 0.5225 0.9306
Ni 0.5000 0.9775 0.4306
Ni 0.5000 0.0225 0.9306
N 0.0000 0.3476 0.8868
N 0.0000 0.6524 0.3868
N 0.5000 0.8476 0.8868
N 0.5000 0.1524 0.3868

For the formation energy from raw total energies, the calculation gives -51.9 kJ per mole of atoms. For the calculated total energy, the calculation gives -7.647 eV/atom.

---

No. 2
First-principles (PBE-GGA) data for crystalline ZrNiN at its relaxed geometry, as listed in Alexandria.

Cell: 3.1873 3.1873 3.7719 Å, 90.00 90.00 90.00°
Atoms (fractional coordinates):
Zr 0.5000 0.5000 0.5000
Ni 0.0000 0.0000 0.0000
N 0.0000 0.0000 0.5000

For the formation energy from raw total energies, the calculation gives -94.5 kJ per mole of atoms. For the calculated total energy, the calculation gives -8.531 eV/atom.

---

No. 3
First-principles (PBE-GGA) data for crystalline NpN at its relaxed geometry, as listed in Alexandria.

Cell: 3.7071 3.7071 3.7071 Å, 60.00 60.00 60.00°
Each line ends with the local moment (μB).
Atoms (fractional coordinates):
Np 0.0000 0.0000 0.0000  3.65
N 0.2500 0.2500 0.2500  -0.15

For the formation energy from raw total energies, the calculation gives -85.8 kJ per mole of atoms. For the calculated total energy, the calculation gives -11.522 eV/atom.

---

No. 4
First-principles (PBE-GGA) data for crystalline Np2N3 at its relaxed geometry, as listed in Alexandria.

Cell: 9.1638 9.1638 9.1638 Å, 109.47 109.47 109.47°
Each line ends with the local moment (μB).
Atoms (fractional coordinates):
Np 0.5000 0.0000 0.5000  2.45
Np 0.5000 0.5000 0.0000  2.45
Np 0.0000 0.5000 0.5000  2.45
Np 0.0000 0.0000 0.0000  2.45
Np 0.7735 0.2500 0.0235  2.70
Np 0.7265 0.7500 0.4765  2.70
Np 0.2500 0.0235 0.7735  2.70
Np 0.7500 0.4765 0.7265  2.70
Np 0.0235 0.7735 0.2500  2.70
Np 0.4765 0.7265 0.7500  2.70
Np 0.2265 0.7500 0.9765  2.70
Np 0.2735 0.2500 0.5235  2.70
Np 0.7500 0.9765 0.2265  2.70
Np 0.2500 0.5235 0.2735  2.70
Np 0.9765 0.2265 0.7500  2.70
Np 0.5235 0.2735 0.2500  2.70
N 0.4976 0.2338 0.4701  -0.17
N 0.2363 0.2662 0.7639  -0.17
N 0.0024 0.4724 0.7361  -0.17
N 0.2637 0.0276 0.0299  -0.17
N 0.2338 0.4701 0.4976  -0.17
N 0.2662 0.7639 0.2363  -0.17
N 0.4724 0.7361 0.0024  -0.17
N 0.0276 0.0299 0.2637  -0.17
N 0.4701 0.4976 0.2338  -0.17
N 0.7639 0.2363 0.2662  -0.17
N 0.7361 0.0024 0.4724  -0.17
N 0.0299 0.2637 0.0276  -0.17
N 0.5024 0.7662 0.5299  -0.17
N 0.7637 0.7338 0.2361  -0.17
N 0.9976 0.5276 0.2639  -0.17
N 0.7363 0.9724 0.9701  -0.17
N 0.7662 0.5299 0.5024  -0.17
N 0.7338 0.2361 0.7637  -0.17
N 0.5276 0.2639 0.9976  -0.17
N 0.9724 0.9701 0.7363  -0.17
N 0.5299 0.5024 0.7662  -0.17
N 0.2361 0.7637 0.7338  -0.17
N 0.2639 0.9976 0.5276  -0.17
N 0.9701 0.7363 0.9724  -0.17

For the formation energy from raw total energies, the calculation gives -112.1 kJ per mole of atoms. For the calculated total energy, the calculation gives -11.333 eV/atom.

---

No. 5
First-principles (PBE-GGA) data for crystalline NpN at its relaxed geometry, as listed in Alexandria.

Cell: 2.9922 2.9922 2.9922 Å, 90.00 90.00 90.00°
Each line ends with the local moment (μB).
Atoms (fractional coordinates):
Np 0.0000 0.0000 0.0000  3.86
N 0.5000 0.5000 0.5000  -0.17

For the formation energy from raw total energies, the calculation gives -46.6 kJ per mole of atoms. For the calculated total energy, the calculation gives -11.116 eV/atom.

---

No. 6
First-principles (PBE-GGA) data for crystalline Np3N5 at its relaxed geometry, as listed in Alexandria.

Cell: 5.3598 6.3869 6.7403 Å, 83.64 66.57 73.82°
Each line ends with the local moment (μB).
Atoms (fractional coordinates):
Np 0.6446 0.5004 0.2100  2.40
Np 0.7220 0.0004 0.0552  1.74
Np 0.0778 0.2119 0.5000  2.81
Np 0.9214 0.7889 0.5000  2.81
Np 0.2772 0.0004 0.9448  1.74
Np 0.3546 0.5004 0.7900  2.40
N 0.1545 0.8716 0.7182  -0.19
N 0.0332 0.2941 0.8809  -0.17
N 0.2506 0.4913 0.5000  -0.19
N 0.3727 0.8716 0.2818  -0.19
N 0.5851 0.7068 0.8809  -0.17
N 0.4141 0.2941 0.1191  -0.17
N 0.6265 0.1292 0.7182  -0.19
N 0.7486 0.5095 0.5000  -0.19
N 0.9660 0.7068 0.1191  -0.17
N 0.8447 0.1292 0.2818  -0.19

For the formation energy from raw total energies, the calculation gives -81.9 kJ per mole of atoms. For the calculated total energy, the calculation gives -10.905 eV/atom.

---

No. 7
First-principles (PBE-GGA) data for crystalline NpN4 at its relaxed geometry, as listed in Alexandria.

Cell: 4.1005 4.1005 4.1005 Å, 90.00 90.00 90.00°
Each line ends with the local moment (μB).
Atoms (fractional coordinates):
Np 0.5000 0.5000 0.5000  0.02
N 0.0000 0.0000 0.0000  1.68
N 0.5000 0.0000 0.5000  -0.18
N 0.0000 0.5000 0.5000  -0.18
N 0.5000 0.5000 0.0000  -0.18

For the formation energy from raw total energies, the calculation gives 130.0 kJ per mole of atoms. For the calculated total energy, the calculation gives -7.901 eV/atom.

---

No. 8
First-principles (PBE-GGA) data for crystalline NpN at its relaxed geometry, as listed in Alexandria.

Cell: 3.4497 3.4497 3.4497 Å, 60.00 60.00 60.00°
Each line ends with the local moment (μB).
Atoms (fractional coordinates):
Np 0.5000 0.5000 0.5000  3.19
N 0.0000 0.0000 0.0000  -0.17

For the formation energy from raw total energies, the calculation gives -106.8 kJ per mole of atoms. For the calculated total energy, the calculation gives -11.740 eV/atom.

---

No. 9
First-principles (PBE-GGA) data for crystalline Np5N4O at its relaxed geometry, as listed in Alexandria.

Cell: 3.4274 5.9709 7.7021 Å, 75.10 77.14 73.32°
Each line ends with the local moment (μB).
Atoms (fractional coordinates):
Np 0.2012 0.8977 0.7000  -3.02
Np 0.7988 0.1023 0.3000  -3.02
Np 0.4003 0.3020 0.8975  -3.18
Np 0.0000 0.5000 0.5000  2.93
Np 0.5997 0.6980 0.1025  -3.18
N 0.6029 0.1942 0.5999  0.06
N 0.2004 0.4030 0.1962  0.11
N 0.7996 0.5970 0.8038  0.11
N 0.3971 0.8058 0.4001  0.06
O 0.0000 0.0000 0.0000  0.10

For the formation energy from raw total energies, the calculation gives -127.6 kJ per mole of atoms. For the calculated total energy, the calculation gives -11.619 eV/atom.

---

No. 10
First-principles (PBE-GGA) data for crystalline NpNO at its relaxed geometry, as listed in Alexandria.

Cell: 3.3474 3.3474 5.7804 Å, 98.46 98.46 119.48°
Each line ends with the local moment (μB).
Atoms (fractional coordinates):
Np 0.0032 0.0032 0.0064  2.18
O 0.3876 0.3876 0.7753  -0.10
N 0.6092 0.6092 0.2183  -0.18

The calculation puts the energy above the most stable polymorph in this dataset at 867 meV/atom. For the formation energy from raw total energies, the calculation gives -111.1 kJ per mole of atoms. For the calculated total energy, the calculation gives -9.893 eV/atom.

---

No. 11
First-principles (PBE-GGA) data for crystalline Np6N5O at its relaxed geometry, as listed in Alexandria.

Cell: 5.9580 5.9580 5.9557 Å, 99.58 99.58 120.03°
Each line ends with the local moment (μB).
Atoms (fractional coordinates):
Np 0.4179 0.0834 0.2503  3.09
Np 0.9166 0.5821 0.7497  3.09
Np 0.2506 0.2506 0.7484  3.11
Np 0.7494 0.7494 0.2516  3.11
Np 0.0834 0.4179 0.2503  3.09
Np 0.5821 0.9166 0.7497  3.09
O 0.0000 0.0000 0.0000  -0.10
N 0.8319 0.1681 0.5000  -0.16
N 0.6664 0.3336 0.0000  -0.16
N 0.5000 0.5000 0.5000  -0.15
N 0.3336 0.6664 0.0000  -0.16
N 0.1681 0.8319 0.5000  -0.16

For the formation energy from raw total energies, the calculation gives -126.4 kJ per mole of atoms. For the calculated total energy, the calculation gives -11.663 eV/atom.

---

No. 12
First-principles (PBE-GGA) data for crystalline Np2NO at its relaxed geometry, as listed in Alexandria.

Cell: 3.4075 3.4075 11.7768 Å, 90.00 90.00 120.00°
Each line ends with the local moment (μB).
Atoms (fractional coordinates):
Np 0.3333 0.6667 0.3824  3.54
Np 0.6667 0.3333 0.8824  3.54
Np 0.6667 0.3333 0.6176  3.54
Np 0.3333 0.6667 0.1176  3.54
N 0.0000 0.0000 0.5000  -0.15
N 0.0000 0.0000 0.0000  -0.15
O 0.6667 0.3333 0.2500  -0.09
O 0.3333 0.6667 0.7500  -0.09

The calculation puts the energy above the most stable polymorph in this dataset at 144 meV/atom. For the formation energy from raw total energies, the calculation gives -149.1 kJ per mole of atoms. For the calculated total energy, the calculation gives -11.336 eV/atom.